[1]
# ErHfTh2, optimized geometry, DFT PBE-GGA
data_ErHfTh2
_space_group_name_H-M_alt 'R -3 m'
_space_group_IT_number 166
_space_group_name_Hall '-R 3 2"'
_cell_length_a 3.3635
_cell_length_b 3.3635
_cell_length_c 36.3737
_cell_angle_alpha 90.00
_cell_angle_beta 90.00
_cell_angle_gamma 120.00
loop_
_atom_site_label
_atom_site_type_symbol
_atom_site_fract_x
_atom_site_fract_y
_atom_site_fract_z
Er1 Er 0.0000 0.0000 0.0000
Hf1 Hf 0.0000 0.0000 0.5000
Th1 Th 0.0000 0.0000 0.4163
# E_form = 144 kJ/mol of formula units

[2]
# ErHfTh, optimized geometry, DFT PBE-GGA
data_ErHfTh
_space_group_name_H-M_alt 'I 4 m m'
_space_group_IT_number 107
_space_group_name_Hall 'I 4 -2'
_cell_length_a 3.3541
_cell_length_b 3.3541
_cell_length_c 15.0261
_cell_angle_alpha 90.00
_cell_angle_beta 90.00
_cell_angle_gamma 90.00
loop_
_atom_site_label
_atom_site_type_symbol
_atom_site_fract_x
_atom_site_fract_y
_atom_site_fract_z
Er1 Er 0.0000 0.0000 0.0000
Hf1 Hf 0.0000 0.0000 0.3462
Th1 Th 0.0000 0.0000 0.6858
# E_form = 34 kJ/mol of formula units

[3]
# ErHfTh2, optimized geometry, DFT PBE-GGA
data_ErHfTh2
_space_group_name_H-M_alt 'R 3 m'
_space_group_IT_number 160
_space_group_name_Hall 'R 3 -2"'
_cell_length_a 3.4606
_cell_length_b 3.4606
_cell_length_c 33.6724
_cell_angle_alpha 90.00
_cell_angle_beta 90.00
_cell_angle_gamma 120.00
loop_
_atom_site_label
_atom_site_type_symbol
_atom_site_fract_x
_atom_site_fract_y
_atom_site_fract_z
Er1 Er 0.0000 0.0000 0.0000
Hf1 Hf 0.0000 0.0000 0.8299
Th1 Th 0.0000 0.0000 0.2449
Th2 Th 0.0000 0.0000 0.4179
# E_form = 53 kJ/mol of formula units

Energy above the most stable polymorph in this dataset, record by record: 268 0 33 meV per atom